Material: Ir2RhSe
Method: DFT, PBE-GGA
State: relaxed

The space group is P4mm (No. 99) and the conventional cell measures 2.849, 2.849 and 7.483 Å, with angles of 90.00, 90.00 and 90.00 degrees. The distinct sites, in fractional coordinates, are Ir at (0.000, 0.000, 0.000), Ir at (0.500, 0.500, 0.243), Rh at (0.000, 0.000, 0.495) and Se at (0.500, 0.500, 0.739).


Material: BWI2N
Method: DFT, PBE-GGA
State: relaxed

The energy above the most stable polymorph in this dataset is 180 meV/atom.

The space group is P4/mmm (No. 123) and the conventional cell measures 5.609, 5.609 and 3.839 Å, with angles of 90.00, 90.00 and 90.00 degrees. The distinct sites, in fractional coordinates, are B at (0.000, 0.000, 0.000), W at (0.500, 0.500, 0.500), I at (0.000, 0.500, 0.500) and N at (0.500, 0.500, 0.000).


Material: KHgOs2
Method: DFT, PBE-GGA
State: relaxed

The value obtained for the energy of formation from the pure elements is 35.812 kcal/mol of atoms.

The space group is P4/mmm (No. 123) and the conventional cell measures 3.918, 3.918 and 5.005 Å, with angles of 90.00, 90.00 and 90.00 degrees. The distinct sites, in fractional coordinates, are K at (0.000, 0.000, 0.000), Hg at (0.500, 0.500, 0.000) and Os at (0.000, 0.500, 0.500).


Material: GeSI
Method: DFT, PBE-GGA
State: relaxed

The energy above the most stable polymorph in this dataset is 0 meV/atom.

The space group is P-1 (No. 2) and the conventional cell measures 4.864, 6.677 and 7.865 Å, with angles of 90.58, 103.29 and 96.18 degrees. The distinct sites, in fractional coordinates, are Ge at (0.191, 0.439, 0.436), S at (0.477, 0.696, 0.362) and I at (0.055, 0.805, 0.819).


Material: VPt2Rh3
Method: DFT, PBE-GGA
State: relaxed

The value obtained for the energy of formation from the pure elements is -6.457 kcal/mol of atoms.

The space group is Cmmm (No. 65) and the conventional cell measures 3.899, 11.663 and 7.649 Å, with angles of 90.00, 90.00 and 90.00 degrees. The distinct sites, in fractional coordinates, are V at (0.000, 0.159, 0.000), Pt at (0.000, 0.169, 0.500), Pt at (0.000, 0.500, 0.000), Pt at (0.000, 0.500, 0.500), Rh at (0.000, 0.000, 0.243) and Rh at (0.000, 0.329, 0.230).


Material: Zr2CoH4
Method: DFT, PBE-GGA
State: relaxed

The space group is P2_1/m (No. 11) and the conventional cell measures 5.417, 4.120 and 6.638 Å, with angles of 90.00, 114.13 and 90.00 degrees. The distinct sites, in fractional coordinates, are Zr at (0.206, 0.250, 0.427), Zr at (0.230, 0.250, 0.941), Co at (0.333, 0.750, 0.703), H at (0.031, 0.750, 0.905), H at (0.109, 0.750, 0.434) and H at (0.438, 0.517, 0.258).


Material: Mn2SnRh2
Method: DFT, PBE-GGA
State: relaxed

The value obtained for the energy of formation from the pure elements is -1.620 kcal/mol of atoms.

The space group is P4/mbm (No. 127) and the conventional cell measures 7.272, 7.272 and 3.043 Å, with angles of 90.00, 90.00 and 90.00 degrees. The distinct sites, in fractional coordinates, are Mn at (0.157, 0.343, 0.000), Sn at (0.000, 0.000, 0.500) and Rh at (0.138, 0.638, 0.500).


Material: TbHfThN3
Method: DFT, PBE-GGA
State: relaxed

The space group is P2_1/m (No. 11) and the conventional cell measures 7.246, 3.429 and 8.380 Å, with angles of 90.00, 92.99 and 90.00 degrees. The distinct sites, in fractional coordinates, are Tb at (0.102, 0.250, 0.348), Hf at (0.341, 0.750, 0.067), Th at (0.372, 0.750, 0.651), N at (0.138, 0.250, 0.616), N at (0.346, 0.750, 0.331) and N at (0.369, 0.250, 0.921).


Material: CdIr
Method: DFT, PBE-GGA
State: relaxed

The value obtained for the energy of formation from the pure elements is 23.482 kcal/mol of atoms.

The space group is I-43m (No. 217) and the conventional cell measures 8.218, 8.218 and 8.218 Å, with angles of 90.00, 90.00 and 90.00 degrees. The distinct sites, in fractional coordinates, are Cd at (0.204, 0.204, 0.204) and Ir at (0.110, 0.110, 0.890).


Material: RbSrZnBr2
Method: DFT, PBE-GGA
State: relaxed

The space group is P4/mmm (No. 123) and the conventional cell measures 5.848, 5.848 and 9.729 Å, with angles of 90.00, 90.00 and 90.00 degrees. The distinct sites, in fractional coordinates, are Rb at (0.000, 0.000, 0.000), Sr at (0.000, 0.000, 0.500), Zn at (0.500, 0.500, 0.000) and Br at (0.000, 0.500, 0.500).


Material: LiTmGa2Au4
Method: DFT, PBE-GGA
State: relaxed

The value obtained for the energy of formation from the pure elements is -12.566 kcal/mol of atoms.

The space group is R-3m (No. 166, hexagonal axes) and the conventional cell measures 4.5460, 4.5460 and 24.3306 Å, with angles of 90.00, 90.00 and 120.00 degrees. The distinct sites, in fractional coordinates, are Li at (0.0000, 0.0000, 0.0000), Tm at (0.0000, 0.0000, 0.5000), Ga at (0.0000, 0.0000, 0.2551), Au at (0.0000, 0.0000, 0.1092) and Au at (0.0000, 0.0000, 0.3685).


Material: TiNbTe
Method: DFT, PBE-GGA
State: relaxed

The energy above the most stable polymorph in this dataset is 313 meV/atom.

The space group is C2/m (No. 12) and the conventional cell measures 13.877, 3.587 and 5.844 Å, with angles of 90.00, 107.45 and 90.00 degrees. The distinct sites, in fractional coordinates, are Ti at (0.128, 0.000, 0.015), Nb at (0.016, 0.500, 0.233) and Te at (0.173, 0.500, 0.682).


Material: Cd2MoPb
Method: DFT, PBE-GGA
State: relaxed

The value obtained for the energy of formation from the pure elements is 10.560 kcal/mol of atoms.

The space group is P4mm (No. 99) and the conventional cell measures 3.027, 3.027 and 9.825 Å, with angles of 90.00, 90.00 and 90.00 degrees. The distinct sites, in fractional coordinates, are Cd at (0.000, 0.000, 0.000), Cd at (0.500, 0.500, 0.243), Mo at (0.000, 0.000, 0.451) and Pb at (0.500, 0.500, 0.685).


Material: CuSnS2
Method: DFT, PBE-GGA
State: relaxed

The space group is Cm (No. 8) and the conventional cell measures 6.311, 3.703 and 6.815 Å, with angles of 90.00, 109.24 and 90.00 degrees. The distinct sites, in fractional coordinates, are Cu at (0.000, 0.000, 0.000), Sn at (0.155, 0.000, 0.511), S at (0.104, 0.500, 0.810) and S at (0.392, 0.000, 0.227).


Material: RbFe2AgBr6
Method: DFT, PBE-GGA
State: relaxed

The space group is C2/c (No. 15) and the conventional cell measures 14.180, 12.776 and 7.556 Å, with angles of 90.00, 107.58 and 90.00 degrees. The distinct sites, in fractional coordinates, are Rb at (0.000, 0.192, 0.250), Fe at (0.214, 0.091, 0.779), Ag at (0.000, 0.396, 0.750), Br at (0.108, 0.421, 0.129), Br at (0.138, 0.030, 0.016) and Br at (0.152, 0.264, 0.683).


Material: Ho4TmTl2
Method: DFT, PBE-GGA
State: relaxed

The value obtained for the energy of formation from the pure elements is 1.645 kcal/mol of atoms. The energy above the most stable polymorph in this dataset is 0 meV/atom.

The space group is R-3m (No. 166, hexagonal axes) and the conventional cell measures 5.4502, 5.4502 and 26.1558 Å, with angles of 90.00, 90.00 and 120.00 degrees. The distinct sites, in fractional coordinates, are Ho at (0.0000, 0.0000, 0.1313), Ho at (0.0000, 0.0000, 0.2628), Tm at (0.0000, 0.0000, 0.5000) and Tl at (0.0000, 0.0000, 0.3812).


Material: CsBaCu3
Method: DFT, PBE-GGA
State: relaxed

The value obtained for the energy of formation from the pure elements is 15.587 kcal/mol of atoms. The energy above the most stable polymorph in this dataset is 0 meV/atom.

The space group is Pm-3m (No. 221) and the conventional cell measures 6.144, 6.144 and 6.144 Å, with angles of 90.00, 90.00 and 90.00 degrees. The distinct sites, in fractional coordinates, are Cs at (0.000, 0.000, 0.000), Ba at (0.500, 0.500, 0.500) and Cu at (0.000, 0.500, 0.500).


Material: K2CoSe
Method: DFT, PBE-GGA
State: relaxed

The space group is Cmm2 (No. 35) and the conventional cell measures 4.977, 4.984 and 9.791 Å, with angles of 90.00, 90.00 and 90.00 degrees. The distinct sites, in fractional coordinates, are K at (0.000, 0.000, 0.000), K at (0.000, 0.500, 0.423), Co at (0.000, 0.500, 0.732) and Se at (0.000, 0.000, 0.676).


Material: NbVPd3
Method: DFT, PBE-GGA
State: relaxed

The value obtained for the energy of formation from the pure elements is -4.457 kcal/mol of atoms. The energy above the most stable polymorph in this dataset is 0 meV/atom.

The space group is C2/c (No. 15) and the conventional cell measures 11.625, 7.525 and 9.189 Å, with angles of 90.00, 128.82 and 90.00 degrees. The distinct sites, in fractional coordinates, are Nb at (0.157, 0.001, 0.083), V at (0.000, 0.137, 0.750), V at (0.000, 0.490, 0.750), Pd at (0.082, 0.339, 0.571), Pd at (0.140, 0.206, 0.316) and Pd at (0.211, 0.355, 0.078).


Material: PmSmEu
Method: DFT, PBE-GGA
State: relaxed

The value obtained for the energy of formation from the pure elements is 0.786 kcal/mol of atoms. The energy above the most stable polymorph in this dataset is 0 meV/atom.

The space group is I4mm (No. 107) and the conventional cell measures 3.713, 3.713 and 15.743 Å, with angles of 90.00, 90.00 and 90.00 degrees. The distinct sites, in fractional coordinates, are Pm at (0.000, 0.000, 0.000), Sm at (0.000, 0.000, 0.348) and Eu at (0.000, 0.000, 0.674).


Material: CsMg4Pb12
Method: DFT, PBE-GGA
State: relaxed

The value obtained for the energy of formation from the pure elements is 2.966 kcal/mol of atoms.

The space group is Im-3 (No. 204) and the conventional cell measures 10.457, 10.457 and 10.457 Å, with angles of 90.00, 90.00 and 90.00 degrees. The distinct sites, in fractional coordinates, are Cs at (0.000, 0.000, 0.000), Mg at (0.250, 0.250, 0.250) and Pb at (0.000, 0.161, 0.356).


Material: Al2BrCl
Method: DFT, PBE-GGA
State: relaxed

The energy above the most stable polymorph in this dataset is 691 meV/atom.

The space group is F-43m (No. 216) and the conventional cell measures 7.281, 7.281 and 7.281 Å, with angles of 90.00, 90.00 and 90.00 degrees. The distinct sites, in fractional coordinates, are Al at (0.000, 0.000, 0.000), Al at (0.250, 0.250, 0.250), Br at (0.250, 0.250, 0.750) and Cl at (0.000, 0.000, 0.500).


Material: NpTa6S8
Method: DFT, PBE-GGA
State: relaxed

The space group is R-3 (No. 148, hexagonal axes) and the conventional cell measures 9.1217, 9.1217 and 11.9160 Å, with angles of 90.00, 90.00 and 120.00 degrees. The distinct sites, in fractional coordinates, are Np at (0.0000, 0.0000, 0.0000), Ta at (0.0199, 0.1878, 0.3895), S at (0.0000, 0.0000, 0.2322) and S at (0.9996, 0.3713, 0.2399).


Result set for total magnetic moment: 0.00 1.24 0.00 0.00 0.00 0.00 7.76 0.00 0.34 0.00 0.00 0.00 0.00 0.00 8.00 0.00 0.00 1.25 0.04 7.30 0.00 0.00 4.30 μB per formula unit, one per record in the order listed.
Result set for calculated total energy: -6.87 -5.01 -4.41 -3.71 -7.49 -5.73 -7.48 -9.14 -3.87 -2.30 -3.74 -7.09 -3.63 -4.24 -3.73 -3.86 -2.34 -3.15 -7.15 -6.55 -2.91 -2.70 -8.64 eV per atom, one per record in the order listed.
Result set for density of states at the Fermi level: 4.05 2.34 4.37 0.00 6.63 2.01 4.81 2.02 2.05 3.92 2.89 2.58 2.68 2.87 9.63 11.37 0.00 5.45 5.14 3.23 10.58 0.29 17.88 states/eV/f.u., one per record in the order listed.